Pu2PaGe3Ir4 (PBE, optimized geometry); formation energy from the elements = -582 meV per atom; raw total energy = -0.3428 hartree per atom; symmetry = P-4m2 (115); DOS at the Fermi energy = 25.17 states/eV per cell
1.0
4.221 0.000 0.000
0.000 4.221 0.000
0.000 0.000 11.077
Pu Pa Ge Ir
2 1 3 4
Direct
0.000 0.500 0.769
0.500 0.000 0.231
0.500 0.500 0.500
0.000 0.500 0.123
0.500 0.000 0.877
0.000 0.000 0.500
0.000 0.500 0.345
0.500 0.000 0.655
0.500 0.500 0.000
0.000 0.000 0.000